A relaxed structure of In2GeSb, computed with PBE.

abc: 6.2851 6.6011 6.6743
angles: 106.83 103.38 117.10
Fractional coordinates of all 8 atoms:
In  0.0049  0.1433  0.3017
In  0.4827  0.1550  0.2166
In  0.5173  0.8450  0.7834
In  0.9951  0.8567  0.6983
Ge  0.4091  0.3703  0.7783
Ge  0.5909  0.6297  0.2217
Sb  0.1785  0.6553  0.2574
Sb  0.8215  0.3447  0.7426

## Properties
Energy relative to the elements, uncorrected, eV/atom: 0.087
V, Å³/cell: 213
Uncorrected energy, eV per atom: -3.47
Theoretical density, Mg/m³: 6.6
Space group: P-1 (2)

---

A relaxed structure of In2Ge2Sb, computed with PBE.

abc: 8.7354 8.7354 3.2292
angles: 90.00 90.00 90.00
Fractional coordinates of all 10 atoms:
In  0.1828  0.3172  0.0000
In  0.3172  0.8172  0.0000
In  0.6828  0.1828  0.0000
In  0.8172  0.6828  0.0000
Ge  0.1102  0.6102  0.5000
Ge  0.3898  0.1102  0.5000
Ge  0.6102  0.8898  0.5000
Ge  0.8898  0.3898  0.5000
Sb  0.0000  0.0000  0.0000
Sb  0.5000  0.5000  0.0000

## Properties
Energy relative to the elements, uncorrected, eV/atom: 0.232
V, Å³/cell: 246
Uncorrected energy, eV per atom: -3.54
Theoretical density, Mg/m³: 6.7
Space group: P4/mbm (127)

---

A relaxed structure of In2GeSb2, computed with PBE.

abc: 8.7087 8.7087 8.7087
angles: 152.38 152.38 39.46
Fractional coordinates of all 5 atoms:
In  0.2500  0.7500  0.5000
In  0.7500  0.2500  0.5000
Ge  0.0000  0.0000  0.0000
Sb  0.4127  0.4127  0.0000
Sb  0.5873  0.5873  0.0000

## Properties
Energy relative to the elements, uncorrected, eV/atom: 0.262
V, Å³/cell: 142
Uncorrected energy, eV per atom: -3.41
Theoretical density, Mg/m³: 6.4
Space group: I4/mmm (139)